A relaxed structure of AlCdAu14, computed with PBE.

a = 6.020 Å, b = 6.020 Å, c = 7.954 Å
α = 90.00°, β = 90.00°, γ = 90.01°
Fractional positions:
Al 0.375 0.375 0.500
Cd 0.875 0.875 0.500
Au 0.875 0.875 0.000
Au 0.375 0.375 0.000
Au 0.875 0.375 0.500
Au 0.875 0.375 0.000
Au 0.375 0.875 0.500
Au 0.375 0.875 0.000
Au 0.620 0.130 0.254
Au 0.620 0.130 0.746
Au 0.130 0.620 0.254
Au 0.130 0.620 0.746
Au 0.620 0.620 0.254
Au 0.620 0.620 0.746
Au 0.130 0.130 0.254
Au 0.130 0.130 0.746

E_form: -0.08 eV/atom
space group: P4/mmm
uncorrected energy: -3.236 eV per atom